*w*
Below is a relaxed Li2Ti3FeO8 crystal, with properties calculated at the PBE+U level.

Unit cell a=5.9749 b=5.9817 c=6.0184 alpha=119.74 beta=119.63 gamma=90.05
Closest atoms and distances in Å follow each position.
Atoms (fractional coordinates):
Li: 0.0000 0.0000 0.0000  6 O 2.08-2.16
Li: 0.1421 0.3815 0.7632  4 O 2.01-2.08
Ti: 0.4967 0.9747 0.4681  4 O 1.84-2.04
Ti: 0.4994 0.0332 0.0080  3 O 1.82-2.02
Ti: 0.5006 0.4970 0.5282  4 O 1.84-2.05
Fe: 0.8631 0.6192 0.2436  4 O 2.01-2.06
O: 0.2834 0.7630 0.5277  3 Ti 2.05-2.07, 1 Fe 2.06
O: 0.2891 0.2466 0.5002  2 Ti 1.84-2.04, 1 Li 2.01
O: 0.2913 0.2544 0.0444  1 Ti 1.82, 1 Li 2.01
O: 0.2925 0.7903 0.0419  2 Ti 1.84-2.05, 1 Li 2.01
O: 0.7188 0.2378 0.4761  3 Ti 2.02-2.03, 1 Li 2.08
O: 0.7206 0.2103 0.9636  1 Ti 1.89, 1 Fe 2.01, 1 Li 2.08
O: 0.7213 0.7464 0.9611  1 Ti 1.87, 1 Fe 2.01
O: 0.7239 0.7575 0.5140  2 Ti 1.90-2.11, 1 Fe 2.01, 1 Li 2.10

Values from the calculation:
Total magnetization in μB per formula unit: 4.000
Volume in Å³/atom: 11.0
Mass density in Mg/m³: 3.69


*x*
Below is a relaxed Li2Ti3FeO8 crystal, with properties calculated at the PBE+U level.

Unit cell a=6.0056 b=6.0056 c=6.0056 alpha=59.72 beta=59.72 gamma=59.72
Closest atoms and distances in Å follow each position.
Atoms (fractional coordinates):
Li: 0.1223 0.1223 0.1223  4 O 2.01-2.06
Li: 0.8777 0.8777 0.8777  4 O 2.01-2.06
Ti: 0.0000 0.5000 0.5000  6 O 1.99-2.02
Ti: 0.5000 0.0000 0.5000  6 O 1.99-2.02
Ti: 0.5000 0.5000 0.0000  6 O 1.99-2.02
Fe: 0.5000 0.5000 0.5000  6 O 2.07
O: 0.2573 0.2573 0.7112  2 Ti 1.99, 1 Li 2.01, 1 Fe 2.07
O: 0.2573 0.7112 0.2573  2 Ti 1.99, 1 Li 2.01, 1 Fe 2.07
O: 0.2620 0.2620 0.2620  3 Ti 2.02, 1 Li 2.06
O: 0.2888 0.7427 0.7427  2 Ti 1.99, 1 Li 2.01, 1 Fe 2.07
O: 0.7112 0.2573 0.2573  2 Ti 1.99, 1 Li 2.01, 1 Fe 2.07
O: 0.7380 0.7380 0.7380  3 Ti 2.02, 1 Li 2.06
O: 0.7427 0.2888 0.7427  2 Ti 1.99, 1 Li 2.01, 1 Fe 2.07
O: 0.7427 0.7427 0.2888  2 Ti 1.99, 1 Li 2.01, 1 Fe 2.07

Values from the calculation:
Total magnetization in μB per formula unit: 4.000
Volume in Å³/atom: 10.9
Mass density in Mg/m³: 3.72


*y*
Below is a relaxed Li2Ti3FeO8 crystal, with properties calculated at the PBE+U level.

Unit cell a=8.5002 b=8.5002 c=8.5002 alpha=90.04 beta=90.04 gamma=90.04
Closest atoms and distances in Å follow each position.
Atoms (fractional coordinates):
Li: 0.1250 0.6255 0.6247  4 O 2.01-2.04
Li: 0.1265 0.1265 0.1265  4 O 2.01-2.04
Li: 0.3745 0.8750 0.3753  4 O 2.01-2.04
Li: 0.3753 0.3745 0.8750  4 O 2.01-2.04
Li: 0.6247 0.1250 0.6255  4 O 2.01-2.04
Li: 0.6255 0.6247 0.1250  4 O 2.01-2.04
Li: 0.8735 0.8735 0.8735  4 O 2.01-2.04
Li: 0.8750 0.3753 0.3745  4 O 2.01-2.04
Ti: 0.0000 0.7506 0.2494  6 O 1.94-2.04
Ti: 0.0035 0.9965 0.5000  6 O 1.96-2.00
Ti: 0.2474 0.2533 0.5016  6 O 1.93-2.06
Ti: 0.2494 0.0000 0.7506  6 O 1.94-2.04
Ti: 0.2534 0.5016 0.2474  6 O 1.93-2.06
Ti: 0.4984 0.7466 0.7526  6 O 1.93-2.06
Ti: 0.5000 0.0035 0.9965  6 O 1.96-2.00
Ti: 0.5016 0.2474 0.2533  6 O 1.93-2.06
Ti: 0.7467 0.7526 0.4984  6 O 1.93-2.06
Ti: 0.7506 0.2494 0.0000  6 O 1.94-2.04
Ti: 0.7526 0.4984 0.7467  6 O 1.93-2.06
Ti: 0.9965 0.5000 0.0035  6 O 1.96-2.00
Fe: 0.0000 0.2499 0.7501  6 O 2.14-2.18
Fe: 0.2499 0.7501 0.0000  6 O 2.14-2.18
Fe: 0.5000 0.5000 0.5000  6 O 2.11
Fe: 0.7501 0.0000 0.2499  6 O 2.14-2.18
O: 0.0015 0.9778 0.2672  2 Ti 1.94-1.99, 1 Li 2.04, 1 Fe 2.15
O: 0.0117 0.5113 0.2383  3 Ti 2.00-2.06, 1 Li 2.01
O: 0.0165 0.2272 0.5002  2 Ti 1.96-1.97, 1 Li 2.04, 1 Fe 2.14
O: 0.0222 0.9985 0.7328  2 Ti 1.94-1.99, 1 Li 2.04, 1 Fe 2.15
O: 0.2272 0.5002 0.0165  2 Ti 1.96-1.97, 1 Li 2.04, 1 Fe 2.14
O: 0.2319 0.7273 0.2544  2 Ti 1.93-1.98, 1 Li 2.02
O: 0.2383 0.0117 0.5113  3 Ti 2.00-2.06, 1 Li 2.01
O: 0.2533 0.4796 0.4855  2 Ti 1.93-2.03, 1 Li 2.03, 1 Fe 2.11
O: 0.2544 0.2319 0.7273  2 Ti 1.93-1.98, 1 Li 2.02
O: 0.2630 0.2630 0.2630  1 Li 2.01, 3 Ti 2.03
O: 0.2672 0.0015 0.9778  2 Ti 1.94-1.99, 1 Li 2.04, 1 Fe 2.15
O: 0.2727 0.7681 0.7456  2 Ti 1.93-1.98, 1 Li 2.02
O: 0.4796 0.4855 0.2533  2 Ti 1.93-2.03, 1 Li 2.03, 1 Fe 2.11
O: 0.4855 0.2533 0.4796  2 Ti 1.93-2.03, 1 Li 2.03, 1 Fe 2.11
O: 0.4887 0.9883 0.7617  3 Ti 2.00-2.06, 1 Li 2.01
O: 0.5002 0.0165 0.2272  2 Ti 1.96-1.97, 1 Li 2.04, 1 Fe 2.14
O: 0.4998 0.7728 0.9835  2 Ti 1.96-1.97, 1 Li 2.04, 1 Fe 2.14
O: 0.5113 0.2383 0.0117  3 Ti 2.00-2.06, 1 Li 2.01
O: 0.5145 0.5204 0.7467  2 Ti 1.93-2.03, 1 Li 2.03, 1 Fe 2.11
O: 0.5204 0.7467 0.5145  2 Ti 1.93-2.03, 1 Li 2.03, 1 Fe 2.11
O: 0.7273 0.2544 0.2319  2 Ti 1.93-1.98, 1 Li 2.02
O: 0.7328 0.0222 0.9985  2 Ti 1.94-1.99, 1 Li 2.04, 1 Fe 2.15
O: 0.7370 0.7370 0.7370  1 Li 2.01, 3 Ti 2.03
O: 0.7456 0.2727 0.7681  2 Ti 1.93-1.98, 1 Li 2.02
O: 0.7467 0.5145 0.5204  2 Ti 1.93-2.03, 1 Li 2.03, 1 Fe 2.11
O: 0.7617 0.4887 0.9883  3 Ti 2.00-2.06, 1 Li 2.01
O: 0.7681 0.7456 0.2727  2 Ti 1.93-1.98, 1 Li 2.02
O: 0.7728 0.9835 0.4998  2 Ti 1.96-1.97, 1 Li 2.04, 1 Fe 2.14
O: 0.9778 0.2672 0.0015  2 Ti 1.94-1.99, 1 Li 2.04, 1 Fe 2.15
O: 0.9835 0.4998 0.7728  2 Ti 1.96-1.97, 1 Li 2.04, 1 Fe 2.14
O: 0.9883 0.7617 0.4887  3 Ti 2.00-2.06, 1 Li 2.01
O: 0.9985 0.7328 0.0222  2 Ti 1.94-1.99, 1 Li 2.04, 1 Fe 2.15

Values from the calculation:
Total magnetization in μB per formula unit: 3.998
Volume in Å³/atom: 11.0
Mass density in Mg/m³: 3.69


*z*
Below is a relaxed Li2Ti3FeO8 crystal, with properties calculated at the PBE+U level.

Unit cell a=5.9296 b=5.9296 c=9.7015 alpha=90.00 beta=90.00 gamma=120.00
Closest atoms and distances in Å follow each position.
Atoms (fractional coordinates):
Li: 0.0000 0.0000 0.0000  4 O 1.79-1.95
Li: 0.0000 0.0000 0.5000  4 O 1.79-1.95
Li: 0.3333 0.6667 0.1027  4 O 1.99-2.04
Li: 0.6667 0.3333 0.6027  4 O 1.99-2.04
Ti: 0.1693 0.3386 0.7818  6 O 1.98-2.02
Ti: 0.1693 0.8307 0.7818  6 O 1.98-2.02
Ti: 0.3386 0.1693 0.2818  6 O 1.98-2.02
Ti: 0.6614 0.8307 0.7818  6 O 1.98-2.02
Ti: 0.8307 0.1693 0.2818  6 O 1.98-2.02
Ti: 0.8307 0.6614 0.2818  6 O 1.98-2.02
Fe: 0.3333 0.6667 0.5067  6 O 2.07-2.14
Fe: 0.6667 0.3333 0.0067  6 O 2.07-2.14
O: 0.0000 0.0000 0.1840  1 Li 1.79, 3 Ti 1.98
O: 0.0000 0.0000 0.6840  1 Li 1.79, 3 Ti 1.98
O: 0.0376 0.5188 0.6622  2 Ti 1.98, 1 Li 1.99, 1 Fe 2.14
O: 0.1619 0.3238 0.3943  1 Li 1.95, 2 Ti 2.02, 1 Fe 2.07
O: 0.1619 0.8381 0.3943  1 Li 1.95, 2 Ti 2.02, 1 Fe 2.07
O: 0.3238 0.1619 0.8943  1 Li 1.95, 2 Ti 2.02, 1 Fe 2.07
O: 0.3333 0.6667 0.8924  3 Ti 2.00, 1 Li 2.04
O: 0.4812 0.5188 0.6622  2 Ti 1.98, 1 Li 1.99, 1 Fe 2.14
O: 0.4812 0.9624 0.6622  2 Ti 1.98, 1 Li 1.99, 1 Fe 2.14
O: 0.5188 0.0376 0.1622  2 Ti 1.98, 1 Li 1.99, 1 Fe 2.14
O: 0.5188 0.4812 0.1622  2 Ti 1.98, 1 Li 1.99, 1 Fe 2.14
O: 0.6667 0.3333 0.3924  3 Ti 2.00, 1 Li 2.04
O: 0.6762 0.8381 0.3943  1 Li 1.95, 2 Ti 2.02, 1 Fe 2.07
O: 0.8381 0.1619 0.8943  1 Li 1.95, 2 Ti 2.02, 1 Fe 2.07
O: 0.8381 0.6762 0.8943  1 Li 1.95, 2 Ti 2.02, 1 Fe 2.07
O: 0.9624 0.4812 0.1622  2 Ti 1.98, 1 Li 1.99, 1 Fe 2.14

Values from the calculation:
Total magnetization in μB per formula unit: 3.993
Volume in Å³/atom: 10.6
Mass density in Mg/m³: 3.84


Which structure is most stable? *y*, by 9 meV per atom over the runner-up.


*w*
Below is a relaxed Li4TiFe3O8 crystal, with properties calculated at the PBE+U level.

Unit cell a=5.8529 b=5.8529 c=5.9300 alpha=119.73 beta=119.73 gamma=60.76
Closest atoms and distances in Å follow each position.
Atoms (fractional coordinates):
Li: 0.0000 0.0000 0.0000  6 O 2.07-2.10
Li: 0.0000 0.5000 0.0000  6 O 2.15-2.22
Li: 0.5000 0.0000 0.0000  6 O 2.15-2.22
Li: 0.5000 0.5000 0.0000  6 O 2.14-2.20
Ti: 0.0000 0.0000 0.5000  6 O 1.99-2.00
Fe: 0.0000 0.5000 0.5000  6 O 1.97-2.04
Fe: 0.5000 0.0000 0.5000  6 O 1.97-2.04
Fe: 0.5000 0.5000 0.5000  6 O 2.05-2.13
O: 0.2231 0.7566 0.7312  2 Fe 1.98-2.13, 1 Ti 1.99, 3 Li 2.07-2.20
O: 0.2418 0.2418 0.7277  1 Ti 2.00, 2 Fe 2.04, 3 Li 2.14-2.16
O: 0.2434 0.7769 0.2688  2 Fe 1.98-2.13, 1 Ti 1.99, 3 Li 2.07-2.20
O: 0.2530 0.2530 0.2828  3 Fe 1.97-2.05, 1 Li 2.10
O: 0.7470 0.7470 0.7172  3 Fe 1.97-2.05, 1 Li 2.10
O: 0.7566 0.2231 0.7312  2 Fe 1.98-2.13, 1 Ti 1.99, 3 Li 2.07-2.20
O: 0.7582 0.7582 0.2723  1 Ti 2.00, 2 Fe 2.04, 3 Li 2.14-2.16
O: 0.7769 0.2434 0.2688  2 Fe 1.98-2.13, 1 Ti 1.99, 3 Li 2.07-2.20

Values from the calculation:
Total magnetization in μB per formula unit: 2.000
Volume in Å³/atom: 9.1
Mass density in Mg/m³: 4.25


*x*
Below is a relaxed Li4TiFe3O8 crystal, with properties calculated at the PBE+U level.

Unit cell a=5.0558 b=5.6911 c=6.5481 alpha=90.82 beta=90.17 gamma=90.20
Closest atoms and distances in Å follow each position.
Atoms (fractional coordinates):
Li: 0.0000 0.0000 0.0000  4 O 1.95-2.05
Li: 0.0005 0.4979 0.7471  4 O 1.94-2.05
Li: 0.5084 0.1689 0.2444  4 O 1.98-2.11
Li: 0.5095 0.6584 0.4957  4 O 1.99-2.10
Ti: 0.5125 0.1602 0.7454  4 O 1.81-1.88
Fe: 0.0034 0.4949 0.2494  4 O 1.87-1.95
Fe: 0.5094 0.6631 0.9957  4 O 1.89-1.93
Fe: 0.9930 0.9868 0.4829  4 O 1.98-2.11
O: 0.3882 0.5109 0.2329  2 Fe 1.89-1.95, 2 Li 2.00-2.04
O: 0.4033 0.9869 0.9725  1 Ti 1.88, 1 Fe 1.93, 1 Li 2.05
O: 0.4042 0.4759 0.7600  1 Ti 1.88, 1 Fe 1.93, 2 Li 2.05-2.10
O: 0.4087 0.0116 0.5113  1 Ti 1.82
O: 0.8697 0.1611 0.7498  1 Ti 1.81, 1 Li 2.00
O: 0.8855 0.6606 0.0079  2 Fe 1.90-1.95, 2 Li 2.02
O: 0.9008 0.1786 0.2434  2 Fe 1.87-1.98, 2 Li 1.95-1.98
O: 0.9032 0.6488 0.4941  2 Fe 1.89-1.98, 2 Li 1.94-1.99

Values from the calculation:
Total magnetization in μB per formula unit: 14.000
Volume in Å³/atom: 11.8
Mass density in Mg/m³: 3.27


Which structure is most stable? *x*, by 177 meV per atom over the runner-up.


*w*
Below is a relaxed LiTiFeO4 crystal, with properties calculated at the PBE+U level.

Unit cell a=9.8864 b=2.9938 c=10.2422 alpha=90.00 beta=90.00 gamma=90.00
Closest atoms and distances in Å follow each position.
Atoms (fractional coordinates):
Li: 0.1134 0.2500 0.1450  3 O 1.92-2.04
Li: 0.3866 0.7500 0.6450  3 O 1.92-2.04
Li: 0.6134 0.2500 0.3550  3 O 1.92-2.04
Li: 0.8866 0.7500 0.8550  3 O 1.92-2.04
Ti: 0.2127 0.7500 0.8671  6 O 1.90-2.11
Ti: 0.2873 0.2500 0.3671  6 O 1.90-2.11
Ti: 0.7127 0.7500 0.6329  6 O 1.90-2.11
Ti: 0.7873 0.2500 0.1329  6 O 1.90-2.11
Fe: 0.0067 0.7500 0.3689  6 O 2.01-2.07
Fe: 0.4933 0.2500 0.8689  6 O 2.01-2.07
Fe: 0.5067 0.7500 0.1311  6 O 2.01-2.07
Fe: 0.9933 0.2500 0.6311  6 O 2.01-2.07
O: 0.0687 0.7500 0.7396  1 Ti 1.93, 2 Fe 2.01, 1 Li 2.15
O: 0.1084 0.2500 0.4679  3 Fe 2.02-2.07, 1 Ti 2.05
O: 0.1455 0.2500 0.9604  2 Ti 1.90, 1 Li 1.92
O: 0.1831 0.7500 0.2621  2 Li 2.04, 1 Fe 2.06, 2 Ti 2.11
O: 0.3169 0.2500 0.7621  2 Li 2.04, 1 Fe 2.06, 2 Ti 2.11
O: 0.3545 0.7500 0.4604  2 Ti 1.90, 1 Li 1.92
O: 0.3916 0.7500 0.9679  3 Fe 2.02-2.07, 1 Ti 2.05
O: 0.4313 0.2500 0.2396  1 Ti 1.93, 2 Fe 2.01, 1 Li 2.15
O: 0.5687 0.7500 0.7604  1 Ti 1.93, 2 Fe 2.01, 1 Li 2.15
O: 0.6084 0.2500 0.0321  3 Fe 2.02-2.07, 1 Ti 2.05
O: 0.6455 0.2500 0.5396  2 Ti 1.90, 1 Li 1.92
O: 0.6831 0.7500 0.2379  2 Li 2.04, 1 Fe 2.06, 2 Ti 2.11
O: 0.8169 0.2500 0.7379  2 Li 2.04, 1 Fe 2.06, 2 Ti 2.11
O: 0.8545 0.7500 0.0396  2 Ti 1.90, 1 Li 1.92
O: 0.8916 0.7500 0.5321  3 Fe 2.02-2.07, 1 Ti 2.05
O: 0.9313 0.2500 0.2604  1 Ti 1.93, 2 Fe 2.01, 1 Li 2.15

Values from the calculation:
Total magnetization in μB per formula unit: 5.000
Volume in Å³/atom: 10.8
Mass density in Mg/m³: 3.83


*x*
Below is a relaxed LiTiFeO4 crystal, with properties calculated at the PBE+U level.

Unit cell a=9.0342 b=2.9532 c=10.9414 alpha=90.00 beta=90.00 gamma=90.00
Closest atoms and distances in Å follow each position.
Atoms (fractional coordinates):
Li: 0.2469 0.2500 0.1055  4 O 2.10-2.16
Li: 0.2531 0.7500 0.6055  4 O 2.10-2.16
Li: 0.7469 0.2500 0.3945  4 O 2.10-2.16
Li: 0.7531 0.7500 0.8945  4 O 2.10-2.16
Ti: 0.0811 0.7500 0.3903  6 O 1.89-2.05
Ti: 0.4189 0.2500 0.8903  6 O 1.89-2.05
Ti: 0.5811 0.7500 0.1097  6 O 1.89-2.05
Ti: 0.9189 0.2500 0.6097  6 O 1.89-2.05
Fe: 0.0637 0.7500 0.8892  6 O 2.04-2.09
Fe: 0.4363 0.2500 0.3892  6 O 2.04-2.09
Fe: 0.5637 0.7500 0.6108  6 O 2.04-2.09
Fe: 0.9363 0.2500 0.1108  6 O 2.04-2.09
O: 0.0133 0.2500 0.2906  2 Ti 1.94, 1 Fe 2.09
O: 0.0859 0.7500 0.0764  3 Fe 2.04-2.06, 2 Li 2.10
O: 0.1159 0.2500 0.5161  3 Ti 2.04-2.05, 2 Li 2.16
O: 0.2135 0.2500 0.8553  1 Ti 1.89, 2 Fe 2.04
O: 0.2865 0.7500 0.3553  1 Ti 1.89, 2 Fe 2.04
O: 0.3841 0.7500 0.0161  3 Ti 2.04-2.05, 2 Li 2.16
O: 0.4141 0.2500 0.5764  3 Fe 2.04-2.06, 2 Li 2.10
O: 0.4867 0.7500 0.7906  2 Ti 1.94, 1 Fe 2.09
O: 0.5133 0.2500 0.2094  2 Ti 1.94, 1 Fe 2.09
O: 0.5859 0.7500 0.4236  3 Fe 2.04-2.06, 2 Li 2.10
O: 0.6159 0.2500 0.9839  3 Ti 2.04-2.05, 2 Li 2.16
O: 0.7135 0.2500 0.6447  1 Ti 1.89, 2 Fe 2.04
O: 0.7865 0.7500 0.1447  1 Ti 1.89, 2 Fe 2.04
O: 0.8841 0.7500 0.4839  3 Ti 2.04-2.05, 2 Li 2.16
O: 0.9141 0.2500 0.9236  3 Fe 2.04-2.06, 2 Li 2.10
O: 0.9867 0.7500 0.7094  2 Ti 1.94, 1 Fe 2.09

Values from the calculation:
Total magnetization in μB per formula unit: 4.998
Volume in Å³/atom: 10.4
Mass density in Mg/m³: 3.97


*y*
Below is a relaxed LiTiFeO4 crystal, with properties calculated at the PBE+U level.

Unit cell a=5.9958 b=5.9958 c=5.9958 alpha=120.31 beta=120.11 gamma=89.63
Closest atoms and distances in Å follow each position.
Atoms (fractional coordinates):
Li: 0.0000 0.0000 0.0000  6 O 2.18-2.19
Li: 0.5000 0.0000 0.5000  6 O 2.18-2.19
Ti: 0.5000 0.0000 0.0000  6 O 1.97-1.98
Ti: 0.5000 0.5000 0.5000  6 O 1.97-1.98
Fe: 0.0000 0.5000 0.5000  6 O 2.06-2.09
Fe: 0.5000 0.5000 0.0000  6 O 2.06-2.09
O: 0.2683 0.2836 0.5153  1 Ti 1.97, 2 Fe 2.06, 2 Li 2.18
O: 0.2683 0.7529 0.9847  1 Ti 1.97, 2 Fe 2.06, 2 Li 2.18
O: 0.2768 0.7441 0.5327  2 Ti 1.98, 1 Fe 2.09, 1 Li 2.19
O: 0.2886 0.2559 0.0327  2 Ti 1.98, 1 Fe 2.09, 1 Li 2.19
O: 0.7114 0.7441 0.9673  2 Ti 1.98, 1 Fe 2.09, 1 Li 2.19
O: 0.7232 0.2559 0.4673  2 Ti 1.98, 1 Fe 2.09, 1 Li 2.19
O: 0.7317 0.2471 0.0153  1 Ti 1.97, 2 Fe 2.06, 2 Li 2.18
O: 0.7317 0.7164 0.4847  1 Ti 1.97, 2 Fe 2.06, 2 Li 2.18

Values from the calculation:
Total magnetization in μB per formula unit: 4.981
Volume in Å³/atom: 10.9
Mass density in Mg/m³: 3.82


Which structure is most stable? *w*, by 21 meV per atom over the runner-up.